Model 1:
# PBE CaMoAs2, optimized geometry
data_CaMoAs2
_chemical_formula_sum 'Ca1 Mo1 As2'
_space_group_name_H-M_alt 'P 1'
_space_group_IT_number 1
_cell_length_a 4.7037
_cell_length_b 4.7037
_cell_length_c 4.7037
_cell_angle_alpha 60.00
_cell_angle_beta 60.00
_cell_angle_gamma 60.00
loop_
_space_group_symop_operation_xyz
'x,y,z'
loop_
_atom_site_label
_atom_site_type_symbol
_atom_site_fract_x
_atom_site_fract_y
_atom_site_fract_z
Mo1 Mo 0.5000 0.5000 0.5000
Ca1 Ca 0.0000 0.0000 0.0000
As1 As 0.2500 0.2500 0.2500
As2 As 0.7500 0.7500 0.7500
# V   18.40 A^3/atom

***

Model 2:
# PBE CaMoAs2, optimized geometry
data_CaMoAs2
_chemical_formula_sum 'Ca1 Mo1 As2'
_space_group_name_H-M_alt 'P 1'
_space_group_IT_number 1
_cell_length_a 2.9299
_cell_length_b 2.9299
_cell_length_c 10.3865
_cell_angle_alpha 90.00
_cell_angle_beta 90.00
_cell_angle_gamma 101.54
loop_
_space_group_symop_operation_xyz
'x,y,z'
loop_
_atom_site_label
_atom_site_type_symbol
_atom_site_fract_x
_atom_site_fract_y
_atom_site_fract_z
Mo1 Mo 0.5000 0.5000 0.7618
Ca1 Ca 0.0000 0.0000 0.5127
As1 As 0.0000 0.0000 0.9384
As2 As 0.5000 0.5000 0.2870
# V   21.84 A^3/atom

***

Stability ranking, top and bottom: model 1 is the most stable and model 2 is the least stable.

***

Model 1:
# PBE CaMo3As, optimized geometry
data_CaMo3As
_chemical_formula_sum 'Ca1 Mo3 As1'
_space_group_name_H-M_alt 'P 1'
_space_group_IT_number 1
_cell_length_a 4.6727
_cell_length_b 4.6727
_cell_length_c 4.6727
_cell_angle_alpha 90.00
_cell_angle_beta 90.00
_cell_angle_gamma 90.00
loop_
_space_group_symop_operation_xyz
'x,y,z'
loop_
_atom_site_label
_atom_site_type_symbol
_atom_site_fract_x
_atom_site_fract_y
_atom_site_fract_z
Mo1 Mo 0.0000 0.5000 0.0000
Mo2 Mo 0.0000 0.0000 0.5000
Mo3 Mo 0.5000 0.0000 0.0000
Ca1 Ca 0.0000 0.0000 0.0000
As1 As 0.5000 0.5000 0.5000
# V   20.40 A^3/atom

***

Model 2:
# PBE CaMo3As, optimized geometry
data_CaMo3As
_chemical_formula_sum 'Ca1 Mo3 As1'
_space_group_name_H-M_alt 'P 1'
_space_group_IT_number 1
_cell_length_a 4.7303
_cell_length_b 4.7303
_cell_length_c 4.7303
_cell_angle_alpha 90.00
_cell_angle_beta 90.00
_cell_angle_gamma 90.00
loop_
_space_group_symop_operation_xyz
'x,y,z'
loop_
_atom_site_label
_atom_site_type_symbol
_atom_site_fract_x
_atom_site_fract_y
_atom_site_fract_z
Mo1 Mo 0.0000 0.5000 0.0000
Mo2 Mo 0.0000 0.0000 0.5000
Mo3 Mo 0.5000 0.0000 0.0000
Ca1 Ca 0.5000 0.5000 0.5000
As1 As 0.0000 0.0000 0.0000
# V   21.17 A^3/atom

***

Stability ranking, top and bottom: model 2 is the most stable and model 1 is the least stable.

***

Model 1:
# PBE CaMo2As2, optimized geometry
data_CaMo2As2
_chemical_formula_sum 'Ca1 Mo2 As2'
_space_group_name_H-M_alt 'P 1'
_space_group_IT_number 1
_cell_length_a 3.8600
_cell_length_b 3.8600
_cell_length_c 7.3419
_cell_angle_alpha 74.76
_cell_angle_beta 74.76
_cell_angle_gamma 90.00
loop_
_space_group_symop_operation_xyz
'x,y,z'
loop_
_atom_site_label
_atom_site_type_symbol
_atom_site_fract_x
_atom_site_fract_y
_atom_site_fract_z
Mo1 Mo 0.7500 0.2500 0.5000
Mo2 Mo 0.2500 0.7500 0.5000
Ca1 Ca 0.0000 0.0000 0.0000
As1 As 0.3790 0.3790 0.2420
As2 As 0.6210 0.6210 0.7580
# V   20.31 A^3/atom

***

Model 2:
# PBE CaMo2As2, optimized geometry
data_CaMo2As2
_chemical_formula_sum 'Ca1 Mo2 As2'
_space_group_name_H-M_alt 'P 1'
_space_group_IT_number 1
_cell_length_a 4.8506
_cell_length_b 4.8506
_cell_length_c 5.5170
_cell_angle_alpha 63.92
_cell_angle_beta 63.92
_cell_angle_gamma 90.00
loop_
_space_group_symop_operation_xyz
'x,y,z'
loop_
_atom_site_label
_atom_site_type_symbol
_atom_site_fract_x
_atom_site_fract_y
_atom_site_fract_z
Mo1 Mo 0.3736 0.3736 0.2529
Mo2 Mo 0.6264 0.6264 0.7471
Ca1 Ca 0.0000 0.0000 0.0000
As1 As 0.7500 0.2500 0.5000
As2 As 0.2500 0.7500 0.5000
# V   20.33 A^3/atom

***

Stability ranking, top and bottom: model 1 is the most stable and model 2 is the least stable.